Compound: NaLa2InN
Source: the Alexandria database
Functional: PBE
Structure: relaxed

abc: 5.0604 5.0604 4.9774
angles: 90.00 90.00 90.00
Closest atoms and distances in Å follow each position.
Space group P4/mmm (No. 123)
Inequivalent atoms, fractional coordinates:
Na 0.0000 0.0000 0.0000 x1  2 N 2.49
La 0.0000 0.5000 0.5000 x2  2 N 2.53
In 0.5000 0.5000 0.0000 x1  8 La 3.55, 4 Na 3.58
N 0.0000 0.0000 0.5000 x1  2 Na 2.49, 4 La 2.53

Output
The density of states at the Fermi level comes out at 4.27 states/eV/f.u.


Compound: LaNd2InN4
Source: the Alexandria database
Functional: PBE
Structure: relaxed

abc: 3.5928 12.2175 12.5641
angles: 90.00 90.00 90.00
Closest atoms and distances in Å follow each position.
Space group Cmcm (No. 63)
Inequivalent atoms, fractional coordinates:
La 0.0000 0.1163 0.2500 x4  6 N 2.60-2.79
Nd 0.0000 0.3698 0.0364 x8  3 N 2.37-2.44
In 0.0000 0.1469 0.7500 x4  4 N 2.16-2.24
N 0.0000 0.0000 0.0000 x4  4 Nd 2.44
N 0.0000 0.2667 0.6236 x8  1 In 2.16, 1 Nd 2.37
N 0.0000 0.4622 0.2500 x4  2 In 2.24


Compound: La2InNiN
Source: the Alexandria database
Functional: PBE
Structure: relaxed

abc: 5.3770 5.3770 3.7710
angles: 90.00 90.00 90.00
Closest atoms and distances in Å follow each position.
Space group P4/mmm (No. 123)
Inequivalent atoms, fractional coordinates:
La 0.0000 0.5000 0.0000 x2  2 N 2.69
In 0.0000 0.0000 0.5000 x1  8 La 3.28
Ni 0.5000 0.5000 0.5000 x1  2 N 1.89
N 0.5000 0.5000 0.0000 x1  2 Ni 1.89

Output
The density of states at the Fermi level comes out at 5.07 states/eV/f.u.


Compound: LaInN2O
Source: the Alexandria database
Functional: PBE
Structure: relaxed

abc: 4.1329 4.1329 4.2034
angles: 90.00 90.00 90.00
Closest atoms and distances in Å follow each position.
Space group P4/mmm (No. 123)
Inequivalent atoms, fractional coordinates:
La 0.0000 0.0000 0.0000 x1  4 O 2.92, 8 N 2.95
In 0.5000 0.5000 0.5000 x1  4 N 2.07, 2 O 2.10
N 0.0000 0.5000 0.5000 x2  2 In 2.07
O 0.5000 0.5000 0.0000 x1  2 In 2.10

Output
The density of states at the Fermi level comes out at 4.77 states/eV/f.u.


Compound: LaInNO2
Source: the Alexandria database
Functional: PBE
Structure: relaxed

abc: 4.5126 4.5126 5.0732
angles: 90.00 90.00 90.00
Closest atoms and distances in Å follow each position.
Space group P4/mmm (No. 123)
Inequivalent atoms, fractional coordinates:
La 0.0000 0.0000 0.0000 x1  4 O 2.26
In 0.5000 0.5000 0.5000 x1  4 N 3.19, 8 O 3.39
N 0.0000 0.0000 0.5000 x1  2 La 2.54
O 0.0000 0.5000 0.0000 x2  2 La 2.26

Output
The density of states at the Fermi level comes out at 2.17 states/eV/f.u.


Compound: LaInNO2
Source: the Alexandria database
Functional: PBE
Structure: relaxed

abc: 4.1739 4.1739 4.1808
angles: 90.00 90.00 90.00
Closest atoms and distances in Å follow each position.
Space group P4/mmm (No. 123)
Inequivalent atoms, fractional coordinates:
La 0.0000 0.0000 0.0000 x1  4 N 2.95, 8 O 2.95
In 0.5000 0.5000 0.5000 x1  4 O 2.09, 2 N 2.09
N 0.5000 0.5000 0.0000 x1  2 In 2.09
O 0.0000 0.5000 0.5000 x2  2 In 2.09

Output
The density of states at the Fermi level comes out at 2.67 states/eV/f.u.


Energy relative to the elements, uncorrected for every record listed, in sequence, given in eV/atom: -0.606; -0.878; -0.608; -0.340; -0.550; -1.239.
V for every record listed, in sequence, given in Å³ per cell: 127.5; 551.5; 109.0; 71.8; 103.3; 72.8.